This record from Alexandria via LeMat-Bulk describes MnP4Pb after structural relaxation. The functional is PBE-GGA.

Lattice parameters (Å, degrees): 7.592 7.592 7.592 90.00 90.00 90.00
Space group F-43m (No. 216)
One atom of each set of equivalent atoms:
Mn 0.000 0.000 0.000 (multiplicity 4)
P 0.136 0.136 0.636 (multiplicity 16)
Pb 0.250 0.250 0.250 (multiplicity 4)

Raw total energy in eV per atom: -5.137
N(E_F) in states/eV per cell: 12.072
Energy of formation in eV/atom: 0.616
ρ in g/cm3: 5.9